(1)
# SrEuGePd, relaxed, DFT PBE
# Formation enthalpy at 0 K, eV/atom: -0.501
# Calculated total energy, eV per atom: -5.942
# Total magnetization, μB/atom: 1.72
# Density of states at the Fermi level, states/eV/f.u.: 11.7
data_SrEuGePd
_chemical_formula_sum 'Sr4 Eu4 Ge4 Pd4'
_symmetry_space_group_name_H-M 'F -4 3 m'
_symmetry_Int_Tables_number 216
_symmetry_space_group_name_Hall 'F -4 2 3'
_cell_length_a 7.4740
_cell_length_b 7.4740
_cell_length_c 7.4740
_cell_angle_alpha 90.00
_cell_angle_beta 90.00
_cell_angle_gamma 90.00
loop_
_atom_site_label
_atom_site_type_symbol
_atom_site_fract_x
_atom_site_fract_y
_atom_site_fract_z
_atom_site_occupancy
Sr1 Sr 0.0000 0.0000 0.0000 1
Eu1 Eu 0.0000 0.0000 0.5000 1
Ge1 Ge 0.2500 0.2500 0.2500 1
Pd1 Pd 0.2500 0.2500 0.7500 1

(2)
# EuThGePd, relaxed, DFT PBE
# Formation enthalpy at 0 K, eV/atom: -0.608
# Calculated total energy, eV per atom: -7.484
# Total magnetization, μB/atom: 1.80
# Density of states at the Fermi level, states/eV/f.u.: 1.4
data_EuThGePd
_chemical_formula_sum 'Eu4 Th4 Ge4 Pd4'
_symmetry_space_group_name_H-M 'F -4 3 m'
_symmetry_Int_Tables_number 216
_symmetry_space_group_name_Hall 'F -4 2 3'
_cell_length_a 7.3272
_cell_length_b 7.3272
_cell_length_c 7.3272
_cell_angle_alpha 90.00
_cell_angle_beta 90.00
_cell_angle_gamma 90.00
loop_
_atom_site_label
_atom_site_type_symbol
_atom_site_fract_x
_atom_site_fract_y
_atom_site_fract_z
_atom_site_occupancy
Eu1 Eu 0.0000 0.0000 0.0000 1
Th1 Th 0.0000 0.0000 0.5000 1
Ge1 Ge 0.2500 0.2500 0.2500 1
Pd1 Pd 0.2500 0.2500 0.7500 1

(3)
# EuTmGePd, relaxed, DFT PBE
# Formation enthalpy at 0 K, eV/atom: -0.689
# Calculated total energy, eV per atom: -6.828
# Total magnetization, μB/atom: 1.71
# Density of states at the Fermi level, states/eV/f.u.: 10.6
data_EuTmGePd
_chemical_formula_sum 'Eu4 Tm4 Ge4 Pd4'
_symmetry_space_group_name_H-M 'F -4 3 m'
_symmetry_Int_Tables_number 216
_symmetry_space_group_name_Hall 'F -4 2 3'
_cell_length_a 7.1489
_cell_length_b 7.1489
_cell_length_c 7.1489
_cell_angle_alpha 90.00
_cell_angle_beta 90.00
_cell_angle_gamma 90.00
loop_
_atom_site_label
_atom_site_type_symbol
_atom_site_fract_x
_atom_site_fract_y
_atom_site_fract_z
_atom_site_occupancy
Eu1 Eu 0.0000 0.0000 0.0000 1
Tm1 Tm 0.0000 0.0000 0.5000 1
Ge1 Ge 0.2500 0.2500 0.2500 1
Pd1 Pd 0.2500 0.2500 0.7500 1

(4)
# Pm2EuGe, relaxed, DFT PBE
# Relative energy among the computed polymorphs, eV per atom: 0.000
# Formation enthalpy at 0 K, eV/atom: -0.302
# Calculated total energy, eV per atom: -6.400
# Total magnetization, μB/atom: 1.88
# Density of states at the Fermi level, states/eV/f.u.: 4.2
data_Pm2EuGe
_chemical_formula_sum 'Pm2 Eu1 Ge1'
_symmetry_space_group_name_H-M 'P 4/m m m'
_symmetry_Int_Tables_number 123
_symmetry_space_group_name_Hall '-P 4 2'
_cell_length_a 4.8707
_cell_length_b 4.8707
_cell_length_c 4.6848
_cell_angle_alpha 90.00
_cell_angle_beta 90.00
_cell_angle_gamma 90.00
loop_
_atom_site_label
_atom_site_type_symbol
_atom_site_fract_x
_atom_site_fract_y
_atom_site_fract_z
_atom_site_occupancy
Pm1 Pm 0.0000 0.5000 0.0000 1
Eu1 Eu 0.0000 0.0000 0.5000 1
Ge1 Ge 0.5000 0.5000 0.5000 1

(5)
# Pm2EuGe, relaxed, DFT PBE
# Relative energy among the computed polymorphs, eV per atom: 0.019
# Formation enthalpy at 0 K, eV/atom: -0.282
# Calculated total energy, eV per atom: -6.381
# Total magnetization, μB/atom: 2.11
# Density of states at the Fermi level, states/eV/f.u.: 4.9
data_Pm2EuGe
_chemical_formula_sum 'Pm2 Eu1 Ge1'
_symmetry_space_group_name_H-M 'P 4/m m m'
_symmetry_Int_Tables_number 123
_symmetry_space_group_name_Hall '-P 4 2'
_cell_length_a 3.9311
_cell_length_b 3.9311
_cell_length_c 7.8435
_cell_angle_alpha 90.00
_cell_angle_beta 90.00
_cell_angle_gamma 90.00
loop_
_atom_site_label
_atom_site_type_symbol
_atom_site_fract_x
_atom_site_fract_y
_atom_site_fract_z
_atom_site_occupancy
Pm1 Pm 0.0000 0.0000 0.1909 1
Eu1 Eu 0.5000 0.5000 0.5000 1
Ge1 Ge 0.5000 0.5000 0.0000 1

(6)
# Pm2EuGe, relaxed, DFT PBE
# Relative energy among the computed polymorphs, eV per atom: 0.158
# Formation enthalpy at 0 K, eV/atom: -0.144
# Calculated total energy, eV per atom: -6.242
# Total magnetization, μB/atom: 1.93
# Density of states at the Fermi level, states/eV/f.u.: 6.1
data_Pm2EuGe
_chemical_formula_sum 'Pm8 Eu4 Ge4'
_symmetry_space_group_name_H-M 'F m -3 m'
_symmetry_Int_Tables_number 225
_symmetry_space_group_name_Hall '-F 4 2 3'
_cell_length_a 7.6454
_cell_length_b 7.6454
_cell_length_c 7.6454
_cell_angle_alpha 90.00
_cell_angle_beta 90.00
_cell_angle_gamma 90.00
loop_
_atom_site_label
_atom_site_type_symbol
_atom_site_fract_x
_atom_site_fract_y
_atom_site_fract_z
_atom_site_occupancy
Pm1 Pm 0.2500 0.2500 0.2500 1
Eu1 Eu 0.0000 0.0000 0.0000 1
Ge1 Ge 0.0000 0.0000 0.5000 1

(7)
# PmEuGePt, relaxed, DFT PBE
# Formation enthalpy at 0 K, eV/atom: -0.774
# Calculated total energy, eV per atom: -7.194
# Total magnetization, μB/atom: 1.70
# Density of states at the Fermi level, states/eV/f.u.: 11.4
data_PmEuGePt
_chemical_formula_sum 'Pm4 Eu4 Ge4 Pt4'
_symmetry_space_group_name_H-M 'F -4 3 m'
_symmetry_Int_Tables_number 216
_symmetry_space_group_name_Hall 'F -4 2 3'
_cell_length_a 7.2822
_cell_length_b 7.2822
_cell_length_c 7.2822
_cell_angle_alpha 90.00
_cell_angle_beta 90.00
_cell_angle_gamma 90.00
loop_
_atom_site_label
_atom_site_type_symbol
_atom_site_fract_x
_atom_site_fract_y
_atom_site_fract_z
_atom_site_occupancy
Pm1 Pm 0.0000 0.0000 0.0000 1
Eu1 Eu 0.0000 0.0000 0.5000 1
Ge1 Ge 0.2500 0.2500 0.2500 1
Pt1 Pt 0.2500 0.2500 0.7500 1

(8)
# PmEuSiGe, relaxed, DFT PBE
# Formation energy from raw total energies, kJ/mol of atoms: -43
# Calculated total energy, eV per atom: -6.714
# Total magnetization, μB/atom: 1.73
# Density of states at the Fermi level, states/eV/f.u.: 2.2
data_PmEuSiGe
_chemical_formula_sum 'Pm4 Eu4 Si4 Ge4'
_symmetry_space_group_name_H-M 'F -4 3 m'
_symmetry_Int_Tables_number 216
_symmetry_space_group_name_Hall 'F -4 2 3'
_cell_length_a 7.3158
_cell_length_b 7.3158
_cell_length_c 7.3158
_cell_angle_alpha 90.00
_cell_angle_beta 90.00
_cell_angle_gamma 90.00
loop_
_atom_site_label
_atom_site_type_symbol
_atom_site_fract_x
_atom_site_fract_y
_atom_site_fract_z
_atom_site_occupancy
Pm1 Pm 0.0000 0.0000 0.0000 1
Eu1 Eu 0.0000 0.0000 0.5000 1
Si1 Si 0.2500 0.2500 0.2500 1
Ge1 Ge 0.2500 0.2500 0.7500 1

(9)
# PmEuSnGe, relaxed, DFT PBE
# Formation enthalpy at 0 K, eV/atom: -0.548
# Calculated total energy, eV per atom: -6.459
# Total magnetization, μB/atom: 1.74
# Density of states at the Fermi level, states/eV/f.u.: 2.3
data_PmEuSnGe
_chemical_formula_sum 'Pm4 Eu4 Sn4 Ge4'
_symmetry_space_group_name_H-M 'F -4 3 m'
_symmetry_Int_Tables_number 216
_symmetry_space_group_name_Hall 'F -4 2 3'
_cell_length_a 7.5997
_cell_length_b 7.5997
_cell_length_c 7.5997
_cell_angle_alpha 90.00
_cell_angle_beta 90.00
_cell_angle_gamma 90.00
loop_
_atom_site_label
_atom_site_type_symbol
_atom_site_fract_x
_atom_site_fract_y
_atom_site_fract_z
_atom_site_occupancy
Pm1 Pm 0.0000 0.0000 0.0000 1
Eu1 Eu 0.0000 0.0000 0.5000 1
Sn1 Sn 0.2500 0.2500 0.2500 1
Ge1 Ge 0.2500 0.2500 0.7500 1

(10)
# PmEuZnGe, relaxed, DFT PBE
# Formation enthalpy at 0 K, eV/atom: -0.483
# Calculated total energy, eV per atom: -5.712
# Total magnetization, μB/atom: 1.88
# Density of states at the Fermi level, states/eV/f.u.: 2.8
data_PmEuZnGe
_chemical_formula_sum 'Pm4 Eu4 Zn4 Ge4'
_symmetry_space_group_name_H-M 'F -4 3 m'
_symmetry_Int_Tables_number 216
_symmetry_space_group_name_Hall 'F -4 2 3'
_cell_length_a 7.3611
_cell_length_b 7.3611
_cell_length_c 7.3611
_cell_angle_alpha 90.00
_cell_angle_beta 90.00
_cell_angle_gamma 90.00
loop_
_atom_site_label
_atom_site_type_symbol
_atom_site_fract_x
_atom_site_fract_y
_atom_site_fract_z
_atom_site_occupancy
Pm1 Pm 0.0000 0.0000 0.0000 1
Eu1 Eu 0.0000 0.0000 0.5000 1
Zn1 Zn 0.2500 0.2500 0.7500 1
Ge1 Ge 0.2500 0.2500 0.2500 1

Question: Which of these has the lowest total magnetization?
Answer: PmEuGePt

Question: calculated total energy of number 4 (Pm2EuGe)?
Answer: -6.400 eV per atom

Question: The lowest calculated total energy belongs to which entry?
Answer: EuThGePd

Question: Look up the total magnetization of the third one.
Answer: 1.71 μB/atom